Arrangement i

This record from Alexandria describes a relaxed NdY2Te4 crystal. The functional is PBE.

Total magnetization in μB/cell: 0.0
Crystal system: orthorhombic

```
data_NdY2Te4
_chemical_formula_sum 'Nd4 Y8 Te16'
_space_group_name_H-M_alt 'C m c m'
_space_group_IT_number 63
_space_group_name_Hall '-C 2c 2'
_cell_length_a 4.3059
_cell_length_b 14.3909
_cell_length_c 15.0255
_cell_angle_alpha 90.00
_cell_angle_beta 90.00
_cell_angle_gamma 90.00
loop_
_atom_site_label
_atom_site_fract_x
_atom_site_fract_y
_atom_site_fract_z
Nd1 0.0000 0.1254 0.2500
Y1 0.0000 0.3686 0.0680
Te1 0.0000 0.0000 0.0000
Te2 0.0000 0.2761 0.6205
Te3 0.0000 0.4617 0.2500
```

=====

Arrangement ii

This record from Alexandria describes a relaxed NdY2Te4 crystal. The functional is PBE.

Total magnetization in μB/cell: 0.0
Crystal system: monoclinic

```
data_NdY2Te4
_chemical_formula_sum 'Nd2 Y4 Te8'
_space_group_name_H-M_alt 'C 1 2/m 1'
_space_group_IT_number 12
_cell_length_a 16.6771
_cell_length_b 4.3903
_cell_length_c 7.6038
_cell_angle_alpha 90.00
_cell_angle_beta 116.65
_cell_angle_gamma 90.00
loop_
_space_group_symop_operation_xyz
'x,y,z'
'-x,-y,-z'
'-x,y,-z'
'x,-y,z'
'x+1/2,y+1/2,z'
'-x+1/2,-y+1/2,-z'
'-x+1/2,y+1/2,-z'
'x+1/2,-y+1/2,z'
loop_
_atom_site_label
_atom_site_fract_x
_atom_site_fract_y
_atom_site_fract_z
Nd1 0.0000 0.0000 0.0000
Y1 0.2447 0.5000 0.7316
Te1 0.1255 0.0000 0.4594
Te2 0.1336 0.5000 0.9717
```

=====

Quick one: most stable of them? arrangement ii

=====

Arrangement i

This record from Alexandria describes a relaxed Nd3ZnTe2 crystal. The functional is PBE.

Total magnetization in μB/cell: 0.0
Crystal system: orthorhombic

```
data_Nd3ZnTe2
_chemical_formula_sum 'Nd6 Zn2 Te4'
_space_group_name_H-M_alt 'C m m m'
_space_group_IT_number 65
_space_group_name_Hall '-C 2 2'
_cell_length_a 6.2348
_cell_length_b 15.0738
_cell_length_c 4.4030
_cell_angle_alpha 90.00
_cell_angle_beta 90.00
_cell_angle_gamma 90.00
loop_
_atom_site_label
_atom_site_fract_x
_atom_site_fract_y
_atom_site_fract_z
Nd1 0.0000 0.0000 0.0000
Nd2 0.0000 0.3624 0.5000
Zn1 0.0000 0.5000 0.0000
Te1 0.0000 0.1534 0.5000
```

=====

Arrangement ii

This record from Alexandria describes a relaxed Nd3ZnTe2 crystal. The functional is PBE.

Total magnetization in μB/cell: 0.0
Crystal system: monoclinic

```
data_Nd3ZnTe2
_chemical_formula_sum 'Nd12 Zn4 Te8'
_space_group_name_H-M_alt 'C 1 2/m 1'
_space_group_IT_number 12
_cell_length_a 7.6084
_cell_length_b 13.2237
_cell_length_c 7.8084
_cell_angle_alpha 90.00
_cell_angle_beta 109.14
_cell_angle_gamma 90.00
loop_
_space_group_symop_operation_xyz
'x,y,z'
'-x,-y,-z'
'-x,y,-z'
'x,-y,z'
'x+1/2,y+1/2,z'
'-x+1/2,-y+1/2,-z'
'-x+1/2,y+1/2,-z'
'x+1/2,-y+1/2,z'
loop_
_atom_site_label
_atom_site_fract_x
_atom_site_fract_y
_atom_site_fract_z
Nd1 0.2398 0.0000 0.2388
Nd2 0.2495 0.1695 0.7582
Zn1 0.0000 0.1677 0.0000
Te1 0.0000 0.0000 0.5000
Te2 0.0000 0.3384 0.5000
Te3 0.0000 0.5000 0.0000
```

=====

Quick one: most stable of them? arrangement ii

=====

Arrangement i

This record from Alexandria describes a relaxed Nd5Th crystal. The functional is PBE.

Total magnetization in μB/cell: 0.0
Crystal system: trigonal

```
data_Nd5Th
_chemical_formula_sum 'Nd5 Th1'
_space_group_name_H-M_alt 'P -3 m 1'
_space_group_IT_number 164
_space_group_name_Hall '-P 3 2"'
_cell_length_a 3.6577
_cell_length_b 3.6577
_cell_length_c 18.0102
_cell_angle_alpha 90.00
_cell_angle_beta 90.00
_cell_angle_gamma 120.00
loop_
_atom_site_label
_atom_site_fract_x
_atom_site_fract_y
_atom_site_fract_z
Nd1 0.0000 0.0000 0.0000
Nd2 0.3333 0.6667 0.1665
Nd3 0.3333 0.6667 0.6604
Th1 0.0000 0.0000 0.5000
```

=====

Arrangement ii

This record from Alexandria describes a relaxed Nd5Th crystal. The functional is PBE.

Total magnetization in μB/cell: 0.0
Crystal system: orthorhombic

```
data_Nd5Th
_chemical_formula_sum 'Nd10 Th2'
_space_group_name_H-M_alt 'C m m m'
_space_group_IT_number 65
_space_group_name_Hall '-C 2 2'
_cell_length_a 5.1846
_cell_length_b 15.5479
_cell_length_c 5.1724
_cell_angle_alpha 90.00
_cell_angle_beta 90.00
_cell_angle_gamma 90.00
loop_
_atom_site_label
_atom_site_fract_x
_atom_site_fract_y
_atom_site_fract_z
Nd1 0.0000 0.0000 0.0000
Nd2 0.0000 0.1633 0.5000
Nd3 0.0000 0.3380 0.0000
Th1 0.0000 0.5000 0.5000
```

=====

Quick one: most stable of them? arrangement i

=====

Arrangement i

This record from Alexandria describes a relaxed Nd2Th3 crystal. The functional is PBE.

Total magnetization in μB/cell: 0.0
Crystal system: trigonal

```
data_Nd2Th3
_chemical_formula_sum 'Nd6 Th9'
_space_group_name_H-M_alt 'R -3 m'
_space_group_IT_number 166
_space_group_name_Hall '-R 3 2"'
_cell_length_a 3.6037
_cell_length_b 3.6037
_cell_length_c 44.3815
_cell_angle_alpha 90.00
_cell_angle_beta 90.00
_cell_angle_gamma 120.00
loop_
_atom_site_label
_atom_site_fract_x
_atom_site_fract_y
_atom_site_fract_z
Nd1 0.0000 0.0000 0.2026
Th1 0.0000 0.0000 0.0000
Th2 0.0000 0.0000 0.3980
```

=====

Arrangement ii

This record from Alexandria describes a relaxed Nd2Th3 crystal. The functional is PBE.

Total magnetization in μB/cell: 0.0
Crystal system: trigonal

```
data_Nd2Th3
_chemical_formula_sum 'Nd12 Th18'
_space_group_name_H-M_alt 'R -3 c'
_space_group_IT_number 167
_space_group_name_Hall '-R 3 2"c'
_cell_length_a 9.9068
_cell_length_b 9.9068
_cell_length_c 11.7854
_cell_angle_alpha 90.00
_cell_angle_beta 90.00
_cell_angle_gamma 120.00
loop_
_atom_site_label
_atom_site_fract_x
_atom_site_fract_y
_atom_site_fract_z
Nd1 0.0000 0.0000 0.1277
Th1 0.0000 0.3433 0.2500
```

=====

Quick one: most stable of them? arrangement i

=====

Arrangement i

This record from Alexandria describes a relaxed NdTh8 crystal. The functional is PBE.

Total magnetization in μB/cell: 0.0
Crystal system: tetragonal

```
data_NdTh8
_chemical_formula_sum 'Nd2 Th16'
_space_group_name_H-M_alt 'I 4/m m m'
_space_group_IT_number 139
_space_group_name_Hall '-I 4 2'
_cell_length_a 12.7924
_cell_length_b 12.7924
_cell_length_c 3.5734
_cell_angle_alpha 90.00
_cell_angle_beta 90.00
_cell_angle_gamma 90.00
loop_
_atom_site_label
_atom_site_fract_x
_atom_site_fract_y
_atom_site_fract_z
Nd1 0.0000 0.0000 0.0000
Th1 0.0000 0.3334 0.0000
Th2 0.1697 0.1697 0.5000
```

=====

Arrangement ii

This record from Alexandria describes a relaxed NdTh8 crystal. The functional is PBE.

Total magnetization in μB/cell: 0.0
Crystal system: tetragonal

```
data_NdTh8
_chemical_formula_sum 'Nd2 Th16'
_space_group_name_H-M_alt 'I 4/m m m'
_space_group_IT_number 139
_space_group_name_Hall '-I 4 2'
_cell_length_a 10.7333
_cell_length_b 10.7333
_cell_length_c 5.0517
_cell_angle_alpha 90.00
_cell_angle_beta 90.00
_cell_angle_gamma 90.00
loop_
_atom_site_label
_atom_site_fract_x
_atom_site_fract_y
_atom_site_fract_z
Nd1 0.0000 0.0000 0.0000
Th1 0.0000 0.3340 0.0000
Th2 0.1684 0.1684 0.5000
```

=====

Quick one: most stable of them? arrangement ii

=====

Arrangement i

This record from Alexandria describes a relaxed NdTh2Ti crystal. The functional is PBE.

Total magnetization in μB/cell: 0.0
Crystal system: tetragonal

```
data_NdTh2Ti
_chemical_formula_sum 'Nd1 Th2 Ti1'
_space_group_name_H-M_alt 'P 4/m m m'
_space_group_IT_number 123
_space_group_name_Hall '-P 4 2'
_cell_length_a 3.6327
_cell_length_b 3.6327
_cell_length_c 8.7757
_cell_angle_alpha 90.00
_cell_angle_beta 90.00
_cell_angle_gamma 90.00
loop_
_atom_site_label
_atom_site_fract_x
_atom_site_fract_y
_atom_site_fract_z
Nd1 0.0000 0.0000 0.0000
Th1 0.5000 0.5000 0.2860
Ti1 0.0000 0.0000 0.5000
```

=====

Arrangement ii

This record from Alexandria describes a relaxed NdTh2Ti crystal. The functional is PBE.

Total magnetization in μB/cell: 0.0
Crystal system: trigonal

```
data_NdTh2Ti
_chemical_formula_sum 'Nd3 Th6 Ti3'
_space_group_name_H-M_alt 'R -3 m'
_space_group_IT_number 166
_space_group_name_Hall '-R 3 2"'
_cell_length_a 3.3833
_cell_length_b 3.3833
_cell_length_c 35.4763
_cell_angle_alpha 90.00
_cell_angle_beta 90.00
_cell_angle_gamma 120.00
loop_
_atom_site_label
_atom_site_fract_x
_atom_site_fract_y
_atom_site_fract_z
Nd1 0.0000 0.0000 0.0000
Th1 0.0000 0.0000 0.0938
Ti1 0.0000 0.0000 0.5000
```

=====

Quick one: most stable of them? arrangement i